The following is a DFT calculation (PBE) of an optimized crystal structure of Ba2NaCd4Au3.

a = 4.5928 Å, b = 4.5928 Å, c = 13.1665 Å
α = 90.00°, β = 90.00°, γ = 90.00°
Sites, in units of the cell vectors:
Ba 0.5000 0.0000 0.2324
Ba 0.0000 0.5000 0.7676
Na 0.5000 0.5000 0.5000
Cd 0.5000 0.5000 0.0000
Cd 0.0000 0.0000 0.0000
Cd 0.5000 0.0000 0.6421
Cd 0.0000 0.5000 0.3579
Au 0.0000 0.0000 0.5000
Au 0.5000 0.0000 0.8610
Au 0.0000 0.5000 0.1390

Values from the calculation:
symmetry	No. 115
energy	-2.2775	eV/atom
magnetization	0.00	μB/f.u.

=====

The following is a DFT calculation (PBE) of an optimized crystal structure of Sr5PmPb4.

a = 4.8843 Å, b = 8.8857 Å, c = 9.8886 Å
α = 85.31°, β = 104.30°, γ = 90.00°
Sites, in units of the cell vectors:
Sr 0.8089 0.6780 0.6178
Sr 0.8559 0.1932 0.7118
Sr 0.1441 0.8068 0.2882
Sr 0.5000 0.5000 0.0000
Sr 0.1911 0.3220 0.3822
Pm 0.5000 0.0000 0.0000
Pb 0.3079 0.9514 0.6159
Pb 0.9712 0.7734 0.9424
Pb 0.6921 0.0486 0.3841
Pb 0.0288 0.2266 0.0576

Values from the calculation:
symmetry	No. 12
energy	-3.1559	eV/atom
magnetization	0.00	μB/f.u.

=====

| no. | DOS(E_F) (states/eV/cell) |
| --- | --- |
| 1 | 5.2 |
| 2 | 6.5 |